Here is a relaxed structure of Ba2NaSr6 from Alexandria via LeMat-Bulk. Energies are from PBE-GGA.

Unit cell a=4.269 b=4.269 c=31.706 alpha=90.00 beta=90.00 gamma=120.00
Positions (direct):
Ba  0.667  0.333  0.325
Ba  0.667  0.333  0.675
Na  0.333  0.667  0.000
Sr  0.667  0.333  0.900
Sr  0.333  0.667  0.437
Sr  0.333  0.667  0.790
Sr  0.333  0.667  0.210
Sr  0.333  0.667  0.563
Sr  0.667  0.333  0.100

Computed properties:
The density is 2.73 g cm⁻³. The calculation puts the spin magnetization at 0.2 μB/f.u. The uncorrected energy is -1.650 eV/atom. The density of states at the Fermi level comes out at 10.47 states/eV per cell. For the formation enthalpy at 0 K, the calculation gives 0.4 eV/f.u.